Record 1
The following is a PBE calculation of a relaxed structure of AcInSnAu6, from Alexandria via LeMat-Bulk.

Structure (CIF):
```
data_AcInSnAu6
_symmetry_space_group_name_H-M 'I m m a'
_symmetry_Int_Tables_number 74
_symmetry_space_group_name_Hall '-I 2b 2'
_cell_length_a 7.0022
_cell_length_b 9.4837
_cell_length_c 14.5861
_cell_angle_alpha 90.00
_cell_angle_beta 90.00
_cell_angle_gamma 90.00
loop_
_atom_site_label
_atom_site_type_symbol
_atom_site_fract_x
_atom_site_fract_y
_atom_site_fract_z
Ac1 Ac 0.0000 0.2500 0.1144
In1 In 0.2500 0.2500 0.7500
Sn1 Sn 0.0000 0.0000 0.5000
Au1 Au 0.0000 0.2500 0.3798
Au2 Au 0.0000 0.2500 0.9018
Au3 Au 0.2215 0.0004 0.3450
```

Results
Crystal system ... orthorhombic
Total energy ... -3.530 eV per atom
D(E_F) ... 15.56 states/eV/cell
Volume ... 968.6 Å³/cell

=====

Record 2
The following is a PBE calculation of a relaxed structure of U2Ni4As3H2, from Alexandria via LeMat-Bulk.

Structure (CIF):
```
data_U2Ni4As3H2
_symmetry_space_group_name_H-M 'I 4/m m m'
_symmetry_Int_Tables_number 139
_symmetry_space_group_name_Hall '-I 4 2'
_cell_length_a 3.8488
_cell_length_b 3.8488
_cell_length_c 20.3900
_cell_angle_alpha 90.00
_cell_angle_beta 90.00
_cell_angle_gamma 90.00
loop_
_atom_site_label
_atom_site_type_symbol
_atom_site_fract_x
_atom_site_fract_y
_atom_site_fract_z
U1 U 0.0000 0.0000 0.1995
Ni1 Ni 0.0000 0.5000 0.0748
As1 As 0.0000 0.0000 0.3453
As2 As 0.0000 0.0000 0.5000
H1 H 0.0000 0.0000 0.0764
```

Results
Crystal system ... tetragonal
Total energy ... -6.311 eV per atom
D(E_F) ... 18.37 states/eV/cell
Volume ... 302.0 Å³/cell

=====

Q: Which of these has the lowest total energy?
A: U2Ni4As3H2

=====

Q: Look up the volume of the first one.
A: 968.6 Å³/cell

=====

Q: What is the formula in the second record?
A: U2Ni4As3H2

=====

Q: The lowest total energy belongs to which entry?
A: U2Ni4As3H2